DFT (PBE-GGA) results for a geometry-optimized Mn2AlAg structure.

Lattice parameters (Å, degrees): 4.712 4.712 2.838 90.00 90.00 108.73
Fractional positions:
Mn (0.000, 0.500, 0.000)
Mn (0.500, 0.000, 0.000)
Al (0.000, 0.000, 0.500)
Ag (0.500, 0.500, 0.500)

Calculated values
- Fermi-level density of states: 3.2 states/eV/f.u.
- ΔH_f (0 K): 0.44 eV/f.u.
- Symmetry: No. 65



DFT (PBE-GGA) results for a geometry-optimized Mn2AlAg structure.

Lattice parameters (Å, degrees): 4.290 4.290 4.290 60.00 60.00 60.00
Fractional positions:
Mn (0.000, 0.000, 0.000)
Mn (0.250, 0.250, 0.250)
Al (0.500, 0.500, 0.500)
Ag (0.750, 0.750, 0.750)

Calculated values
- Fermi-level density of states: 5.3 states/eV/f.u.
- ΔH_f (0 K): 0.90 eV/f.u.
- Symmetry: No. 216



DFT (PBE-GGA) results for a geometry-optimized Mn2AlAg structure.

Lattice parameters (Å, degrees): 8.772 8.772 8.772 18.21 18.21 18.21
Fractional positions:
Mn (0.000, 0.000, 0.000)
Mn (0.260, 0.260, 0.260)
Al (0.515, 0.515, 0.515)
Ag (0.758, 0.758, 0.758)

Calculated values
- Fermi-level density of states: 2.8 states/eV/f.u.
- ΔH_f (0 K): 0.58 eV/f.u.
- Symmetry: No. 160